DFT (PBE) results for crystalline Y3Ag3Au2 at its relaxed geometry.

Cell: 7.5612 7.5612 3.7332 Å, 90.00 90.00 120.00°
With the nearest neighbours (Å) after each atom.
Space group P-62m (No. 189)
Asymmetric unit:
Y  0.0000  0.6030  0.0000  4 Au 2.98, 4 Ag 3.21
Ag  0.0000  0.2265  0.5000  2 Ag 2.97, 2 Au 3.01, 4 Y 3.21
Au  0.3333  0.6667  0.5000  6 Y 2.98, 3 Ag 3.01

Values from the calculation:
energy: -0.1785 hartree per atom
DFT formation energy: -12.58 kcal/mol of atoms